Record 1
## ZrSc (PBE-GGA)

Data for a geometry-optimized ZrSc structure.

Cell lengths 11.6357, 3.2493, 5.6891 Å; angles 90.00, 118.54, 90.00 degrees
Closest atoms and distances in Å follow each position.
Sites, in units of the cell vectors:
Zr1 0.1238 0.0000 0.4546  5 Zr 3.16-3.25, 7 Sc 3.17-3.31
Zr2 0.3762 0.5000 0.5454  5 Zr 3.16-3.25, 7 Sc 3.17-3.31
Zr3 0.6238 0.5000 0.4546  5 Zr 3.16-3.25, 7 Sc 3.17-3.31
Zr4 0.8762 0.0000 0.5454  5 Zr 3.16-3.25, 7 Sc 3.17-3.31
Sc1 0.1239 0.5000 0.9613  5 Sc 3.12-3.25, 7 Zr 3.17-3.31
Sc2 0.3761 0.0000 0.0387  5 Sc 3.12-3.25, 7 Zr 3.17-3.31
Sc3 0.6239 0.0000 0.9613  5 Sc 3.12-3.25, 7 Zr 3.17-3.31
Sc4 0.8761 0.5000 0.0387  5 Sc 3.12-3.25, 7 Zr 3.17-3.31

Results
Space group: C2/m, No. 12
Formation enthalpy at 0 K (meV/atom): -24
Raw total energy (eV per atom): -7.463

=====

Record 2
## KHg3Pt (PBE-GGA)

Data for a geometry-optimized KHg3Pt structure.

Cell lengths 6.8000, 7.4990, 7.5337 Å; angles 85.56, 63.36, 63.34 degrees
Closest atoms and distances in Å follow each position.
Sites, in units of the cell vectors:
K1 0.0000 0.0000 0.0000  9 Hg 3.63-3.96, 4 Pt 3.70-4.06
K2 0.1315 0.3132 0.4282  7 Hg 3.39-3.78, 2 Pt 3.45-3.49
Hg1 0.0189 0.5181 0.9318  2 Pt 2.82-2.87, 1 Hg 2.90
Hg2 0.1304 0.8125 0.4416  2 Pt 2.68-2.70
Hg3 0.4531 0.1711 0.9221  2 Pt 2.75-2.83, 2 Hg 2.90-2.92
Hg4 0.5324 0.5211 0.9292  2 Pt 2.83-2.86, 1 Hg 2.92
Hg5 0.5597 0.3737 0.5116  5 Hg 3.26-3.49, 2 K 3.46
Hg6 0.6245 0.8132 0.4411  2 Pt 2.68-2.70
Pt1 0.5188 0.8364 0.1327  1 Pt 2.62, 5 Hg 2.70-2.87
Pt2 0.7487 0.7741 0.7388  1 Pt 2.62, 5 Hg 2.68-2.83

Results
Space group: P1, No. 1
Offset from the most stable computed form (meV per atom): 93
Formation enthalpy at 0 K (meV/atom): -175
Raw total energy (eV per atom): -1.784

=====

Record 3
## Ti2Rh2C (PBE-GGA)

Data for a geometry-optimized Ti2Rh2C structure.

Cell lengths 5.4930, 5.4930, 4.5808 Å; angles 90.00, 90.00, 90.00 degrees
Closest atoms and distances in Å follow each position.
Sites, in units of the cell vectors:
Ti1 0.1716 0.3284 0.0000  2 Rh 2.61, 5 Ti 2.67-2.88
Ti2 0.3284 0.8284 0.0000  2 Rh 2.61, 5 Ti 2.67-2.88
Ti3 0.6716 0.1716 0.0000  2 Rh 2.61, 5 Ti 2.67-2.88
Ti4 0.8284 0.6716 0.0000  2 Rh 2.61, 5 Ti 2.67-2.88
Rh1 0.1665 0.6665 0.5000  2 C 2.05
Rh2 0.3335 0.1665 0.5000  2 C 2.05
Rh3 0.6665 0.8335 0.5000  2 C 2.05
Rh4 0.8335 0.3335 0.5000  2 C 2.05
C1 0.0000 0.0000 0.5000  4 Rh 2.05
C2 0.5000 0.5000 0.5000  4 Rh 2.05

Results
Space group: P4/mbm, No. 127
Offset from the most stable computed form (meV per atom): 0
Formation enthalpy at 0 K (meV/atom): -68
Raw total energy (eV per atom): -8.011